Density functional theory data (PBE-GGA) for CaGa3PtRh after structural relaxation.

Calculated values
**Formation enthalpy at 0 K**: -0.546 eV/atom
**Calculated volume**: 247.1 Å³/cell

Cell lengths 6.759, 6.759, 5.664 Å; angles 90.00, 90.00, 107.21 degrees
Fractional positions:
Ca  0.206  0.794  0.750
Ca  0.794  0.206  0.250
Ga  0.244  0.244  0.000
Ga  0.244  0.244  0.500
Ga  0.312  0.688  0.250
Ga  0.688  0.312  0.750
Ga  0.756  0.756  0.000
Ga  0.756  0.756  0.500
Pt  0.087  0.913  0.250
Pt  0.913  0.087  0.750
Rh  0.470  0.530  0.750
Rh  0.530  0.470  0.250